# 1
{"formula": "Nd6PdAu5", "functional": "GGA-PBE", "state": "optimized geometry", "cell": [[5.1695, -0.3316, 0.8456], [-0.0201, 6.8340, 2.8024], [1.2123, 0.3154, 8.9746]], "species": ["Au", "Au", "Au", "Au", "Au", "Nd", "Nd", "Nd", "Nd", "Nd", "Nd", "Pd"], "fractional_positions": [[0.6694, 0.1696, 0.6607], [0.3333, 0.3336, 0.3330], [0.0000, 0.5000, 0.0000], [0.6667, 0.6664, 0.6670], [0.3306, 0.8304, 0.3393], [0.8355, 0.5875, 0.3291], [0.8355, 0.0833, 0.3292], [0.5000, 0.7537, 0.0000], [0.5000, 0.2463, 0.0000], [0.1645, 0.9167, 0.6708], [0.1645, 0.4125, 0.6709], [0.0000, 0.0000, 0.0000]], "dos_ef_per_ev_atom": 0.8056, "magnetic_moment_mub_per_atom": 0.000, "delta_e_f_kcal_per_mol_atoms": -17.45}

# 2
{"formula": "GaTeC2", "functional": "GGA-PBE", "state": "optimized geometry", "cell": [[0.0000, 2.9938, 2.9938], [2.9938, 0.0000, 2.9938], [2.9938, 2.9938, 0.0000]], "species": ["C", "C", "Te", "Ga"], "fractional_positions": [[0.2500, 0.2500, 0.2500], [0.7500, 0.7500, 0.7500], [0.5000, 0.5000, 0.5000], [0.0000, 0.0000, 0.0000]], "final_energy_ha_per_atom": -0.1436, "dos_ef_per_ev_atom": 0.6936, "magnetic_moment_mub_per_atom": 0.000}

# 3
{"formula": "RbSrAgI4", "functional": "GGA-PBE", "state": "optimized geometry", "cell": [[-0.3254, -2.2747, 7.3933], [-5.2001, -6.1488, -2.1206], [7.5773, -4.8469, -4.5269]], "species": ["Rb", "Rb", "Sr", "Sr", "Ag", "Ag", "I", "I", "I", "I", "I", "I", "I", "I"], "fractional_positions": [[0.7828, 0.7500, 0.9528], [0.2172, 0.2500, 0.0472], [0.7742, 0.7500, 0.4429], [0.2258, 0.2500, 0.5571], [0.2326, 0.7500, 0.3243], [0.7674, 0.2500, 0.6757], [0.0229, 0.5107, 0.7178], [0.9771, 0.0107, 0.2822], [0.9771, 0.4893, 0.2822], [0.0229, 0.9893, 0.7178], [0.4371, 0.7500, 0.1379], [0.5629, 0.2500, 0.8621], [0.4699, 0.7500, 0.6035], [0.5301, 0.2500, 0.3965]], "final_energy_ha_per_atom": -0.1059, "dos_ef_per_ev_atom": 0.0000, "magnetic_moment_mub_per_atom": 0.000}

# 4
{"formula": "LaTa2Pt", "functional": "GGA-PBE", "state": "optimized geometry", "cell": [[-0.4479, 3.0760, -3.7294], [2.2959, -3.1607, -2.8827], [-2.8876, -1.3776, -0.7894]], "species": ["La", "Pt", "Ta", "Ta"], "fractional_positions": [[0.5000, 0.0000, 0.5000], [0.0000, 0.5000, 0.5000], [0.0000, 0.0000, 0.0000], [0.5000, 0.5000, 0.0000]], "dos_ef_per_ev_atom": 0.8930, "magnetic_moment_mub_per_atom": 0.000, "delta_e_f_kcal_per_mol_atoms": 6.08}

# 5
{"formula": "Ti2ZnPb", "functional": "GGA-PBE", "state": "optimized geometry", "cell": [[3.5581, 0.0000, 0.0000], [0.0000, 3.5581, 0.0000], [0.0000, 0.0000, 5.7956]], "species": ["Pb", "Zn", "Ti", "Ti"], "fractional_positions": [[0.5000, 0.5000, 0.5000], [0.5000, 0.5000, 0.0000], [0.0000, 0.0000, 0.7598], [0.0000, 0.0000, 0.2402]], "dos_ef_per_ev_atom": 0.9345, "magnetic_moment_mub_per_atom": 0.000, "delta_e_f_kcal_per_mol_atoms": 0.91}

# 6
{"formula": "TbLuScMn", "functional": "GGA-PBE", "state": "optimized geometry", "cell": [[-0.9708, 0.1731, -5.0604], [-3.3618, -3.3003, -2.0942], [-4.5646, 1.6969, -1.6925]], "species": ["Sc", "Lu", "Tb", "Mn"], "fractional_positions": [[0.0000, 0.0000, 0.0000], [0.2500, 0.2500, 0.2500], [0.7500, 0.7500, 0.7500], [0.5000, 0.5000, 0.5000]], "dos_ef_per_ev_atom": 1.5867, "magnetic_moment_mub_per_atom": 0.589, "delta_e_f_kcal_per_mol_atoms": 5.16}